Compound: Rb2ErCuI6
Source: Alexandria via LeMat-Bulk
Functional: PBE-GGA
Structure: relaxed

Summary:
Energy relative to the elements, uncorrected, eV per atom: -1.104
Final energy, eV per cell: -61.874
Volume, Å³/cell: 823

Unit cell a=11.6540 b=12.0774 c=8.2572 alpha=90.00 beta=134.88 gamma=90.00
Space group C2/m (No. 12)
Symmetry-distinct sites (fractional):
Rb 0.0000 0.2502 0.0000
Er 0.0000 0.0000 0.5000
Cu 0.0000 0.5000 0.5000
I 0.0000 0.2488 0.5000
I 0.2424 0.5000 0.5012
I 0.2422 0.5000 0.9858


Compound: Ho3TmS3
Source: Alexandria via LeMat-Bulk
Functional: PBE-GGA
Structure: relaxed

Summary:
Energy relative to the elements, uncorrected, eV per atom: -1.665
Final energy, eV per cell: -168.979
Volume, Å³/cell: 638

Unit cell a=10.8416 b=10.8416 c=5.4297 alpha=90.00 beta=90.00 gamma=90.00
Space group P4_2/mnm (No. 136)
Symmetry-distinct sites (fractional):
Ho 0.1212 0.3729 0.0000
Ho 0.1257 0.1257 0.5000
Tm 0.1220 0.8780 0.0000
S 0.1239 0.1239 0.0000
S 0.1258 0.6276 0.0000


Compound: MnNiH
Source: Alexandria via LeMat-Bulk
Functional: PBE-GGA
Structure: relaxed

Summary:
Final energy, eV per cell: -16.843
Volume, Å³/cell: 26

Unit cell a=3.4703 b=3.4703 c=2.4906 alpha=90.00 beta=90.00 gamma=120.00
Space group P-6m2 (No. 187)
Symmetry-distinct sites (fractional):
Mn 0.0000 0.0000 0.0000
Ni 0.6667 0.3333 0.5000
H 0.3333 0.6667 0.0000


Compound: Pr6TlNi2
Source: Alexandria via LeMat-Bulk
Functional: PBE-GGA
Structure: relaxed

Summary:
ΔH_f (0 K), eV/atom: -0.2232
Final energy, eV per cell: -178.459
Volume, Å³/cell: 1047

Unit cell a=9.5541 b=10.3148 c=10.6191 alpha=90.00 beta=90.00 gamma=90.00
Space group Immm (No. 71)
Symmetry-distinct sites (fractional):
Pr 0.0000 0.2038 0.2276
Pr 0.1911 0.5000 0.1774
Pr 0.2046 0.3164 0.5000
Tl 0.0000 0.0000 0.0000
Tl 0.0000 0.0000 0.5000
Ni 0.0000 0.3638 0.0000
Ni 0.0000 0.5000 0.3817